[1]
NdYTm2Th | PBE-GGA | relaxed

Results
- total energy (eV per atom) = -5.204
- spin magnetization (μB per formula unit) = 0.00

The structure in POSCAR format:
```
NdYTm2Th
1.0
5.616 0.000 0.000
0.000 8.523 1.450
0.000 -1.192 6.983
Nd Y Tm Th
2 2 4 2
direct
0.000 0.000 0.000 Nd
0.000 0.000 0.500 Nd
0.000 0.500 0.750 Y
0.000 0.500 0.250 Y
0.500 0.678 0.000 Tm
0.500 0.322 0.500 Tm
0.500 0.678 0.500 Tm
0.500 0.322 0.000 Tm
0.500 0.000 0.250 Th
0.500 0.000 0.750 Th
```

[2]
NdYTm5Th2 | PBE-GGA | relaxed

Results
- total energy (eV per atom) = -5.048
- spin magnetization (μB per formula unit) = 0.00

The structure in POSCAR format:
```
NdYTm5Th2
1.0
-0.487 -8.288 -2.716
8.633 -0.073 -1.326
-2.991 1.765 9.197
Nd Y Tm Th
2 2 10 4
direct
0.250 0.750 0.500 Nd
0.750 0.250 0.500 Nd
0.250 0.250 0.500 Y
0.750 0.750 0.500 Y
0.931 0.431 0.278 Tm
0.653 0.153 0.722 Tm
0.069 0.569 0.722 Tm
0.153 0.069 0.722 Tm
0.569 0.653 0.722 Tm
0.847 0.931 0.278 Tm
0.431 0.347 0.278 Tm
0.347 0.847 0.278 Tm
0.500 0.500 0.000 Tm
0.000 0.000 0.000 Tm
0.119 0.381 0.000 Th
0.619 0.119 0.000 Th
0.381 0.881 0.000 Th
0.881 0.619 0.000 Th
```

[3]
NdY6Tm2Th3 | PBE-GGA | relaxed

Results
- total energy (eV per atom) = -6.203
- spin magnetization (μB per formula unit) = 0.00

The structure in POSCAR format:
```
NdY6Tm2Th3
1.0
-1.119 -6.065 -0.596
5.119 2.463 -2.473
4.404 -0.826 10.889
Nd Y Tm Th
1 6 2 3
direct
0.000 0.000 0.000 Nd
0.915 0.581 0.746 Y
0.751 0.751 0.254 Y
0.085 0.419 0.254 Y
0.581 0.915 0.746 Y
0.249 0.249 0.746 Y
0.419 0.085 0.254 Y
0.333 0.667 0.000 Tm
0.667 0.333 0.000 Tm
0.166 0.834 0.500 Th
0.834 0.166 0.500 Th
0.500 0.500 0.500 Th
```

[4]
NdYTmTh | PBE-GGA | relaxed

Results
- total energy (eV per atom) = -5.764
- spin magnetization (μB per formula unit) = 0.00

The structure in POSCAR format:
```
NdYTmTh
1.0
-0.144 1.001 3.452
-2.444 -2.290 -1.312
7.711 -8.799 0.997
Nd Y Tm Th
1 1 1 1
direct
0.968 0.382 0.365 Nd
0.475 0.135 0.625 Y
0.131 0.964 0.110 Tm
0.304 0.550 0.869 Th
```

[5]
Nd6Y3Tm2Th | PBE-GGA | relaxed

Results
- total energy (eV per atom) = -5.333
- spin magnetization (μB per formula unit) = 0.00

The structure in POSCAR format:
```
Nd6Y3Tm2Th
1.0
-0.612 -2.203 -5.832
4.606 -2.118 3.679
-8.416 -7.073 4.681
Nd Y Tm Th
6 3 2 1
direct
0.917 0.587 0.752 Nd
0.753 0.753 0.247 Nd
0.083 0.413 0.248 Nd
0.587 0.917 0.752 Nd
0.247 0.247 0.753 Nd
0.413 0.083 0.248 Nd
0.167 0.833 0.500 Y
0.833 0.167 0.500 Y
0.500 0.500 0.500 Y
0.333 0.667 0.000 Tm
0.667 0.333 0.000 Tm
0.000 0.000 0.000 Th
```

[6]
NdYTmTh | PBE-GGA | relaxed

Results
- total energy (eV per atom) = -5.653
- spin magnetization (μB per formula unit) = 0.00

The structure in POSCAR format:
```
NdYTmTh
1.0
5.699 0.000 0.000
2.849 4.935 0.000
2.849 1.645 4.653
Y Tm Nd Th
1 1 1 1
direct
0.000 0.000 0.000 Y
0.500 0.500 0.500 Tm
0.250 0.250 0.250 Nd
0.750 0.750 0.750 Th
```

[7]
NdTmThZn | PBE-GGA | relaxed

Results
- total energy (eV per atom) = -4.409
- spin magnetization (μB per formula unit) = 0.00

The structure in POSCAR format:
```
NdTmThZn
1.0
-1.193 5.101 1.336
0.440 1.622 5.138
3.942 3.413 1.429
Zn Tm Nd Th
1 1 1 1
direct
0.000 0.000 0.000 Zn
0.500 0.500 0.500 Tm
0.250 0.250 0.250 Nd
0.750 0.750 0.750 Th
```

[8]
NdTh2V | PBE-GGA | relaxed

Results
- total energy (eV per atom) = -6.540
- spin magnetization (μB per formula unit) = 2.17

The structure in POSCAR format:
```
NdTh2V
1.0
3.409 0.000 0.000
1.704 2.952 0.000
1.704 0.984 11.637
Nd Th V
1 2 1
direct
0.500 0.500 0.500 Nd
0.077 0.077 0.768 Th
0.923 0.923 0.232 Th
0.000 0.000 0.000 V
```

Number 1: density of states at the Fermi level 9.12 states/eV/f.u.. Number 2: density of states at the Fermi level 12.23 states/eV/f.u.. Number 3: density of states at the Fermi level 18.39 states/eV/f.u.. Number 4: density of states at the Fermi level 6.20 states/eV/f.u.. Number 5: density of states at the Fermi level 16.38 states/eV/f.u.. Number 6: density of states at the Fermi level 8.19 states/eV/f.u.. Number 7: density of states at the Fermi level 6.75 states/eV/f.u.. Number 8: density of states at the Fermi level 5.59 states/eV/f.u..